Material: NbI
Method: DFT, PBE
State: optimized geometry

Values from the calculation:
For the density of states at the Fermi level, the calculation gives 3.36 states/eV/f.u. As for the uncorrected formation energy: 2.43 eV/f.u. As for the total energy: -4.595 eV/atom.

Lattice parameters (Å, degrees): 4.6154 4.6154 6.5415 90.00 90.00 120.00
Last column: nearest neighbours and their distance in Å.
Space group P6_3mc (No. 186)
Asymmetric unit:
Nb (0.3333, 0.6667, 0.0000) [2 per cell]  4 I 2.72
I (0.3333, 0.6667, 0.4158) [2 per cell]  4 Nb 2.72